VASP calculation (PBE with a Hubbard U) on Na2CeNiF8 after structural relaxation.

Properties
- uncorrected energy (eV/atom) = -5.16

a b c (Å): 3.777 5.418 8.026
angles (deg): 93.42 89.79 91.42
Fractional positions:
1 F 0.011 0.684 0.321
2 F 0.500 0.224 0.454
3 F 0.430 0.224 0.967
4 F 0.989 0.316 0.679
5 F 0.012 0.848 0.769
6 F 0.988 0.152 0.231
7 F 0.500 0.776 0.546
8 F 0.570 0.776 0.033
9 Ce 0.000 0.000 0.500
10 Na 0.504 0.463 0.214
11 Na 0.496 0.537 0.786
12 Ni 0.000 0.000 0.000